# YCoPb2

A relaxed YCoPb2 crystal (PBEsol, Alexandria).

abc: 4.5097 4.5097 4.3465
angles: 90.00 90.00 90.00
Positions (direct):
Y: 0.0000 0.0000 0.0000
Co: 0.5000 0.5000 0.0000
Pb: 0.0000 0.5000 0.5000
Pb: 0.5000 0.0000 0.5000

Calculated values
Its crystal system is tetragonal. The value obtained for the formation energy is 0.22 eV per formula unit. The calculation puts the density at 10.56 g cm⁻³.